Record 1
Density functional theory data (GGA-PBE) for Ca2HgPb6 after structural relaxation.

The structure belongs to space group C2/m (No. 12); the cell edges are 16.0252, 4.7945 and 7.6024 Å and the angles 90.00°, 110.30° and 90.00°. The inequivalent atoms are Ca at (0.0592, 0.0000, 0.3115), Hg at (0.0000, 0.5000, 0.0000), Pb at (0.1006, 0.5000, 0.6590), Pb at (0.1662, 0.0000, 0.9778) and Pb at (0.2232, 0.5000, 0.3471).

The calculation puts the formation enthalpy at 0 K at -0.223 eV per atom.



Record 2
Density functional theory data (GGA-PBE) for Ce6IrRh2 after structural relaxation.

The structure belongs to space group P2_1/c (No. 14); the cell edges are 6.3204, 7.3089 and 11.5128 Å and the angles 90.00°, 121.07° and 90.00°. The inequivalent atoms are Ce at (0.0730, 0.1910, 0.4263), Ce at (0.2902, 0.6523, 0.4476), Ce at (0.3980, 0.0489, 0.2366), Ir at (0.5000, 0.0000, 0.5000) and Rh at (0.1639, 0.1216, 0.7269).

The calculation puts the formation enthalpy at 0 K at -0.451 eV per atom.



Record 3
Density functional theory data (GGA-PBE) for Ho7NiS5 after structural relaxation.

The structure belongs to space group P2_1/m (No. 11); the cell edges are 3.8138, 23.3189 and 6.6713 Å and the angles 90.00°, 106.54° and 90.00°. The inequivalent atoms are Ho at (0.0425, 0.2500, 0.0843), Ho at (0.1377, 0.5371, 0.2762), Ho at (0.3041, 0.1787, 0.6079), Ho at (0.4114, 0.6108, 0.8235), Ni at (0.3027, 0.7500, 0.6057), S at (0.0515, 0.6426, 0.1041), S at (0.2244, 0.0707, 0.4475) and S at (0.5000, 0.0000, 0.0000).

The calculation puts the raw formation energy at -1.597 eV/atom.



Record 4
Density functional theory data (GGA-PBE) for TbCeThAg after structural relaxation.

The structure belongs to space group F-43m (No. 216); the cell edges are 7.4715, 7.4715 and 7.4715 Å and the angles 90.00°, 90.00° and 90.00°. The inequivalent atoms are Tb at (0.0000, 0.0000, 0.0000), Ce at (0.2500, 0.2500, 0.2500), Th at (0.0000, 0.0000, 0.5000) and Ag at (0.2500, 0.2500, 0.7500).

The calculation puts the formation enthalpy at 0 K at 0.123 eV per atom.



Record 5
Density functional theory data (GGA-PBE) for Tm11Ni4Pb9 after structural relaxation.

The structure belongs to space group Cmmm (No. 65); the cell edges are 14.3826, 21.4625 and 3.8111 Å and the angles 90.00°, 90.00° and 90.00°. The inequivalent atoms are Tm at (0.0000, 0.0000, 0.0000), Tm at (0.0000, 0.1627, 0.0000), Tm at (0.0000, 0.3748, 0.0000), Tm at (0.1864, 0.5000, 0.0000), Tm at (0.2450, 0.3350, 0.0000), Ni at (0.1490, 0.4004, 0.5000), Pb at (0.0000, 0.5000, 0.5000), Pb at (0.1135, 0.2595, 0.5000) and Pb at (0.1428, 0.0762, 0.5000).

The calculation puts the formation enthalpy at 0 K at -0.425 eV per atom.



Record 6
Density functional theory data (GGA-PBE) for La5Hg3 after structural relaxation.

The structure belongs to space group P4/mmm (No. 123); the cell edges are 3.9221, 3.9221 and 16.4013 Å and the angles 90.00°, 90.00° and 90.00°. The inequivalent atoms are La at (0.0000, 0.0000, 0.0000), La at (0.0000, 0.0000, 0.2338), La at (0.5000, 0.5000, 0.3833), Hg at (0.0000, 0.0000, 0.5000) and Hg at (0.5000, 0.5000, 0.1239).

The value obtained for the distance to the lowest polymorph of the same formula is 0.00 eV per formula unit. The calculation puts the formation enthalpy at 0 K at -0.369 eV per atom.



Record 7
Density functional theory data (GGA-PBE) for Rb2NdTcO6 after structural relaxation.

The structure belongs to space group P-3m1 (No. 164); the cell edges are 6.4903, 6.4903 and 5.9844 Å and the angles 90.00°, 90.00° and 120.00°. The inequivalent atoms are Rb at (0.3333, 0.6667, 0.3972), Nd at (0.0000, 0.0000, 0.0000), Tc at (0.0000, 0.0000, 0.5000) and O at (0.1353, 0.2706, 0.6950).

The calculation puts the raw formation energy at -1.825 eV/atom.



Record 8
Density functional theory data (GGA-PBE) for Li2CaMg3 after structural relaxation.

The structure belongs to space group P6_3/mmc (No. 194); the cell edges are 5.0443, 5.0443 and 13.5137 Å and the angles 90.00°, 90.00° and 120.00°. The inequivalent atoms are Li at (0.3333, 0.6667, 0.1082), Ca at (0.0000, 0.0000, 0.2500), Mg at (0.0000, 0.0000, 0.0000) and Mg at (0.3333, 0.6667, 0.6076).

The value obtained for the distance to the lowest polymorph of the same formula is 0.23 eV per formula unit. The calculation puts the formation enthalpy at 0 K at -0.022 eV per atom.



Total magnetization (computed, μB/f.u.): 0.000 2.151 0.000 0.001 0.000 1.255 0.000 0.001